Record 1
Fe2AgMo: relaxed, GGA-PBEsol.

Values from the calculation:
* size of the total moment: 1.09 μB per formula unit
* V: 12.8 Å³/atom
* formation energy: 455 meV/atom
* final energy: -7.796 eV/atom
* ρ: 10.2 g cm⁻³

Cell: 5.895 5.895 5.895 Å, 90.00 90.00 90.00°
Space group Fm-3m (No. 225)
Inequivalent atoms, fractional coordinates:
Fe (0.250, 0.250, 0.250) [8 per cell]
Ag (0.000, 0.000, 0.000) [4 per cell]
Mo (0.000, 0.000, 0.500) [4 per cell]

=====

Record 2
Ba2MnRh: relaxed, GGA-PBEsol.

Values from the calculation:
* size of the total moment: 4.46 μB per formula unit
* V: 25.4 Å³/atom
* formation energy: 560 meV/atom
* final energy: -4.990 eV/atom
* ρ: 7.1 g cm⁻³

Cell: 5.244 5.244 7.378 Å, 90.00 90.00 90.00°
Space group I-4m2 (No. 119)
Inequivalent atoms, fractional coordinates:
Ba (0.000, 0.000, 0.000) [2 per cell]
Ba (0.000, 0.500, 0.250) [2 per cell]
Mn (0.000, 0.500, 0.750) [2 per cell]
Rh (0.000, 0.000, 0.500) [2 per cell]

=====

Record 3
Y3ReSi: relaxed, GGA-PBEsol.

Values from the calculation:
* energy relative to the elements, uncorrected: 0.44 eV/atom
* size of the total moment: 0.01 μB per formula unit
* V: 28.4 Å³/atom
* final energy: -7.469 eV/atom
* ρ: 5.6 g cm⁻³

Cell: 5.220 5.220 5.220 Å, 90.00 90.00 90.00°
Space group Pm-3m (No. 221)
Inequivalent atoms, fractional coordinates:
Y (0.000, 0.000, 0.500) [3 per cell]
Re (0.000, 0.000, 0.000) [1 per cell]
Si (0.500, 0.500, 0.500) [1 per cell]

=====

Record 4
KAs2Se: relaxed, GGA-PBEsol.

Values from the calculation:
* energy relative to the elements, uncorrected: 0.04 eV/atom
* size of the total moment: 0.00 μB per formula unit
* V: 24.6 Å³/atom
* final energy: -3.763 eV/atom
* ρ: 4.5 g cm⁻³

Cell: 3.901 3.901 6.466 Å, 90.00 90.00 90.00°
Space group P4/mmm (No. 123)
Inequivalent atoms, fractional coordinates:
K (0.000, 0.000, 0.000) [1 per cell]
As (0.500, 0.500, 0.321) [2 per cell]
Se (0.000, 0.000, 0.500) [1 per cell]

=====

Record 5
KInFe2: relaxed, GGA-PBEsol.

Values from the calculation:
* size of the total moment: 5.40 μB per formula unit
* V: 19.0 Å³/atom
* formation energy: 1073 meV/atom
* final energy: -4.438 eV/atom
* ρ: 5.8 g cm⁻³

Cell: 4.562 4.562 7.296 Å, 90.00 90.00 90.00°
Space group I-4m2 (No. 119)
Inequivalent atoms, fractional coordinates:
K (0.000, 0.000, 0.000) [2 per cell]
In (0.000, 0.500, 0.250) [2 per cell]
Fe (0.000, 0.000, 0.500) [2 per cell]
Fe (0.000, 0.500, 0.750) [2 per cell]

=====

Record 6
Al3TcW: relaxed, GGA-PBEsol.

Values from the calculation:
* size of the total moment: 2.55 μB per formula unit
* V: 18.6 Å³/atom
* formation energy: 1150 meV/atom
* final energy: -6.320 eV/atom
* ρ: 6.5 g cm⁻³

Cell: 4.529 4.529 4.529 Å, 90.00 90.00 90.00°
Space group Pm-3m (No. 221)
Inequivalent atoms, fractional coordinates:
Al (0.000, 0.000, 0.500) [3 per cell]
Tc (0.000, 0.000, 0.000) [1 per cell]
W (0.500, 0.500, 0.500) [1 per cell]